Entry from the Alexandria database: crystalline BePdPb3 at its relaxed geometry (PBE).

Cell lengths 5.3540, 5.3540, 5.3540 Å; angles 90.00, 90.00, 90.00 degrees
Closest atoms and distances in Å follow each position.
Space group Pm-3m (No. 221)
Asymmetric unit:
Be  0.0000  0.0000  0.0000  12 Pb 3.79
Pd  0.5000  0.5000  0.5000  6 Pb 2.68
Pb  0.0000  0.5000  0.5000  2 Pd 2.68

## Properties
- Energy of formation from the pure elements: 614.9 meV per atom
- Volume: 30.695 A^3/atom
- Density: 8.0 g/cm3